DFT (PBE-GGA) results for a geometry-optimized Sr2CuIO6 structure.

extended XYZ file:
```
10
Lattice="5.781 0.000 -0.315 0.000 5.711 0.000 -2.652 -2.856 4.164" Properties=species:S:1:pos:R:3 pbc="T T T"
Sr 0.099 0.000 2.005
Sr 3.031 2.856 1.843
Cu 2.891 0.000 -0.158
I 0.000 2.856 0.000
O 0.471 2.856 1.912
O -1.294 -1.382 3.828
O 4.423 1.473 0.021
O -1.294 1.382 3.828
O 4.423 4.238 0.021
O 2.659 0.000 1.936
```


DFT (PBE-GGA) results for a geometry-optimized NdAg4Ge structure.

extended XYZ file:
```
6
Lattice="-4.190 3.746 -0.124 -4.843 -1.283 -2.549 -4.639 -0.870 3.053" Properties=species:S:1:pos:R:3 pbc="T T T"
Ge 0.000 0.000 0.000
Nd -3.418 0.398 0.095
Ag -6.224 1.431 -1.291
Ag -6.122 1.638 1.514
Ag -8.547 0.996 0.238
Ag -6.449 -0.880 0.300
```

Summary:
The value obtained for the energy relative to the elements is -0.1009 eV/atom.


DFT (PBE-GGA) results for a geometry-optimized CdGaSn4 structure.

extended XYZ file:
```
6
Lattice="5.084 -0.026 -2.326 -3.297 5.121 -0.699 -0.201 0.015 6.127" Properties=species:S:1:pos:R:3 pbc="T T T"
Cd -1.649 2.561 -0.350
Ga 2.442 -0.006 1.901
Sn -0.238 2.166 2.659
Sn 0.832 0.402 5.017
Sn 0.754 4.708 -1.915
Sn 1.824 2.944 0.444
```

Summary:
Its excess energy over the best structure of this formula in the dataset is 0 meV/atom. The value obtained for the energy relative to the elements is 0.0672 eV/atom.


DFT (PBE-GGA) results for a geometry-optimized Y12Cu5Sn structure.

extended XYZ file:
```
18
Lattice="-2.620 -7.306 3.423 3.569 -1.407 -7.566 5.934 3.789 4.732" Properties=species:S:1:pos:R:3 pbc="T T T"
Y 5.781 -2.364 -0.955
Y 1.102 -2.559 1.543
Y 2.554 -4.101 5.117
Y 4.329 -0.823 -4.528
Y 2.827 -4.618 -0.982
Y 4.056 -0.305 1.571
Y 7.463 0.549 0.555
Y -0.580 -5.472 0.034
Y 4.537 -3.802 2.026
Y 2.346 -1.122 -1.437
Y 7.519 0.175 -2.980
Y -0.637 -5.099 3.569
Cu 0.610 -5.605 -2.665
Cu 0.338 -3.108 -1.478
Cu 2.797 -1.473 3.737
Cu 4.086 -3.451 -3.149
Cu 0.000 0.000 0.000
Sn 4.752 1.191 -1.417
```

Summary:
The value obtained for the energy relative to the elements is -0.2447 eV/atom.


DFT (PBE-GGA) results for a geometry-optimized Tb2TmTh structure.

extended XYZ file:
```
4
Lattice="5.038 0.000 0.000 0.000 4.998 0.000 0.000 0.000 4.998" Properties=species:S:1:pos:R:3 pbc="T T T"
Tm 2.519 0.000 0.000
Tb 0.000 0.000 2.499
Tb 0.000 2.499 0.000
Th 2.519 2.499 2.499
```

Summary:
Its excess energy over the best structure of this formula in the dataset is 8 meV/atom. The value obtained for the energy relative to the elements is 0.0369 eV/atom.


DFT (PBE-GGA) results for a geometry-optimized NaZn12Ag4 structure.

extended XYZ file:
```
17
Lattice="-1.767 5.666 -4.963 -2.854 -6.699 -2.612 -3.068 1.586 6.923" Properties=species:S:1:pos:R:3 pbc="T T T"
Na 0.000 0.000 0.000
Zn -3.170 2.781 -3.713
Zn -2.515 -1.117 -2.069
Zn -3.788 4.515 0.152
Zn -3.848 1.966 3.591
Zn -3.901 -3.963 -0.804
Zn -5.174 1.669 1.417
Zn -2.400 2.434 -0.410
Zn -5.289 -1.881 -0.241
Zn -3.841 -1.414 -4.243
Zn -4.870 1.313 -2.476
Zn -2.819 -0.761 1.824
Zn -4.519 -2.229 3.061
Ag -1.427 -3.350 -1.306
Ag -0.884 2.833 -2.481
Ag -3.845 0.276 -0.326
Ag -1.534 0.793 3.461
```

Summary:
The value obtained for the energy relative to the elements is 0.2438 eV/atom.


DFT (PBE-GGA) results for a geometry-optimized MnFeNi2H4 structure.

extended XYZ file:
```
16
Lattice="5.313 0.007 -0.045 0.003 5.313 -0.045 -2.655 -2.657 3.806" Properties=species:S:1:pos:R:3 pbc="T T T"
Mn 0.002 2.656 -0.023
Mn 3.987 1.335 1.835
Fe 1.331 1.332 1.858
Fe 0.000 0.000 0.000
Ni 2.656 0.003 -0.023
Ni 1.329 -1.325 1.880
Ni 3.986 -1.321 1.858
Ni 2.658 2.660 -0.045
H -1.357 1.348 3.751
H 2.640 0.037 1.868
H 0.021 2.626 1.848
H 4.018 1.316 -0.035
H 1.354 1.352 3.709
H 2.641 2.640 1.864
H 0.020 0.023 1.852
H 1.307 1.312 0.006
```


DFT (PBE-GGA) results for a geometry-optimized NaCo3Ir structure.

extended XYZ file:
```
5
Lattice="4.653 0.000 0.000 0.000 4.653 0.000 0.000 0.000 4.653" Properties=species:S:1:pos:R:3 pbc="T T T"
Na 2.326 2.326 2.326
Ir 0.000 0.000 0.000
Co 0.000 2.326 0.000
Co 0.000 0.000 2.326
Co 2.326 0.000 0.000
```

Summary:
Its excess energy over the best structure of this formula in the dataset is 0 meV/atom. The value obtained for the energy relative to the elements is 1.0836 eV/atom.


DFT (PBE-GGA) results for a geometry-optimized Na12Cd5Au2 structure.

extended XYZ file:
```
19
Lattice="8.066 -0.080 1.363 1.303 7.960 1.363 0.024 0.020 8.296" Properties=species:S:1:pos:R:3 pbc="T T T"
Na 8.389 7.056 3.653
Na 0.955 5.196 7.722
Na 5.283 0.051 7.722
Na 2.055 5.043 4.170
Na 5.320 1.160 4.170
Na 3.781 3.180 7.098
Na 5.613 4.721 3.924
Na 7.339 2.858 6.852
Na 4.074 6.741 6.852
Na 8.439 2.705 3.299
Na 4.111 7.850 3.299
Na 1.005 0.845 7.369
Cd 2.252 1.894 4.516
Cd 3.571 3.004 2.019
Cd 0.012 0.010 4.148
Cd 5.822 4.897 9.002
Cd 7.142 6.007 6.506
Au 6.233 2.099 1.363
Au 3.136 5.781 1.363
```

Summary:
The value obtained for the energy relative to the elements is -0.1306 eV/atom.


DFT (PBE-GGA) results for a geometry-optimized FeH structure.

extended XYZ file:
```
12
Lattice="-2.471 -0.753 -0.500 2.071 -5.640 -1.745 -0.515 -1.830 5.303" Properties=species:S:1:pos:R:3 pbc="T T T"
Fe -0.027 -2.784 4.328
Fe 1.188 -6.092 3.304
Fe 1.266 -4.689 0.804
Fe 0.410 -2.357 1.525
Fe -1.539 -1.456 2.878
Fe -0.246 -3.361 -0.646
H -0.051 -5.635 1.812
H -0.997 -3.058 2.610
H -0.829 -1.900 0.033
H 0.296 -4.963 -0.914
H -0.199 -0.707 2.050
H 0.579 -4.442 3.829
```


DFT (PBE-GGA) results for a geometry-optimized K4Sm3MnTe8 structure.

extended XYZ file:
```
16
Lattice="8.977 0.000 0.000 0.000 9.730 0.524 -4.489 -4.484 6.352" Properties=species:S:1:pos:R:3 pbc="T T T"
K 4.489 0.000 0.000
K 2.244 -2.242 3.176
K 0.000 0.000 0.000
K -2.244 -2.242 3.176
Sm 4.489 4.865 0.262
Sm 2.244 2.623 3.438
Sm -2.244 2.623 3.438
Mn 0.000 4.865 0.262
Te -2.387 2.442 6.584
Te 0.000 4.827 3.208
Te 0.000 0.422 3.471
Te 2.387 2.442 6.584
Te 2.102 2.804 0.292
Te 4.489 4.824 3.406
Te 4.489 0.419 3.668
Te 6.876 2.804 0.292
```


DFT (PBE-GGA) results for a geometry-optimized Na2ThCdO4 structure.

extended XYZ file:
```
8
Lattice="-1.726 -0.667 3.079 4.267 -3.725 1.586 1.380 5.505 1.965" Properties=species:S:1:pos:R:3 pbc="T T T"
Na -0.173 2.419 2.522
Na 2.824 0.890 1.776
Th 1.271 -2.196 2.333
Cd 0.000 0.000 0.000
O 0.483 -0.032 2.360
O 3.437 1.146 4.271
O 2.274 3.224 1.973
O 3.374 -1.444 1.579
```


Number 1: raw total energy -53.8 eV for the cell shown. Number 2: raw total energy -21.4 eV for the cell shown. Number 3: raw total energy -19.6 eV for the cell shown. Number 4: raw total energy -106.5 eV for the cell shown. Number 5: raw total energy -21.0 eV for the cell shown. Number 6: raw total energy -23.9 eV for the cell shown. Number 7: raw total energy -85.7 eV for the cell shown. Number 8: raw total energy -26.1 eV for the cell shown. Number 9: raw total energy -29.4 eV for the cell shown. Number 10: raw total energy -69.1 eV for the cell shown. Number 11: raw total energy -71.1 eV for the cell shown. Number 12: raw total energy -48.3 eV for the cell shown.